(1)
First-principles (PBE) data for a geometry-optimized NpTaZn4 structure, as listed in Alexandria via LeMat-Bulk.

abc: 5.2447 5.2447 5.2447
angles: 60.00 60.00 60.00
Site moments in Bohr magnetons follow the coordinates.
Fractional positions:
Np: 0.2500 0.2500 0.2500  3.81
Zn: 0.6262 0.6262 0.1213  0.00
Zn: 0.6262 0.1213 0.6262  0.00
Zn: 0.6262 0.6262 0.6262  0.00
Zn: 0.1213 0.6262 0.6262  0.00
Ta: 0.0000 0.0000 0.0000  0.61

## Properties
**ΔE_f**: 0.13 eV/atom

(2)
First-principles (PBE) data for a geometry-optimized YBeAu3 structure, as listed in Alexandria via LeMat-Bulk.

abc: 5.0177 5.0177 11.0810
angles: 76.91 76.91 90.00
Fractional positions:
Y: 0.0000 0.0000 0.0000
Y: 0.2500 0.7500 0.5000
Be: 0.6340 0.1340 0.7320
Be: 0.8660 0.3660 0.2680
Au: 0.1263 0.8778 0.2443
Au: 0.1222 0.8737 0.7557
Au: 0.1222 0.3706 0.7557
Au: 0.6294 0.8778 0.2443
Au: 0.3380 0.3380 0.3240
Au: 0.6620 0.6620 0.6760

## Properties
**ΔE_f**: 0.11 eV/atom
**ΔE to the lowest computed polymorph**: 674.5 meV per atom

(3)
First-principles (PBE) data for a geometry-optimized SiBiP structure, as listed in Alexandria via LeMat-Bulk.

abc: 7.9828 3.4677 12.9214
angles: 90.00 119.29 90.00
Fractional positions:
P: 0.8025 0.0000 0.2589
P: 0.8025 0.5000 0.7589
P: 0.0850 0.0000 0.6625
P: 0.0850 0.5000 0.1625
Si: 0.5990 0.0000 0.7195
Si: 0.5990 0.5000 0.2195
Si: 0.8792 0.0000 0.1081
Si: 0.8792 0.5000 0.6081
Bi: 0.2349 0.0000 0.5140
Bi: 0.2349 0.5000 0.0140
Bi: 0.5229 0.0000 0.9055
Bi: 0.5229 0.5000 0.4055

## Properties
**ΔE to the lowest computed polymorph**: 90.4 meV per atom
**Formation energy (no corrections)**: 0.04 eV per atom

(4)
First-principles (PBE) data for a geometry-optimized La2PmScTl2 structure, as listed in Alexandria via LeMat-Bulk.

abc: 5.0459 7.1282 10.0806
angles: 90.00 90.00 90.00
Fractional positions:
La: 0.5000 0.0727 0.0634
La: 0.0000 0.3183 0.1735
La: 0.5000 0.5727 0.9366
La: 0.0000 0.8183 0.8265
Pm: 0.0000 0.9675 0.4551
Pm: 0.0000 0.4675 0.5449
Sc: 0.5000 0.1616 0.6945
Sc: 0.5000 0.6616 0.3055
Tl: 0.0000 0.2844 0.8418
Tl: 0.5000 0.2411 0.3937
Tl: 0.0000 0.7844 0.1582
Tl: 0.5000 0.7411 0.6063

## Properties
**ΔE_f**: -0.27 eV/atom

(5)
First-principles (PBE) data for a geometry-optimized LiCa2InPd6 structure, as listed in Alexandria via LeMat-Bulk.

abc: 9.1527 5.5951 6.4628
angles: 64.31 46.35 89.76
Fractional positions:
Li: 0.0000 0.0000 0.0000
Ca: 0.2452 0.7468 0.5075
Ca: 0.7548 0.2532 0.4925
In: 0.5000 0.5000 0.0000
Pd: 0.3142 0.8178 0.8726
Pd: 0.6861 0.6928 0.1265
Pd: 0.0494 0.2451 0.5104
Pd: 0.6858 0.1822 0.1274
Pd: 0.3139 0.3072 0.8735
Pd: 0.9506 0.7549 0.4896

## Properties
**ΔE_f**: -0.49 eV/atom

(6)
First-principles (PBE) data for a geometry-optimized Ba3C structure, as listed in Alexandria via LeMat-Bulk.

abc: 6.2609 6.2609 6.2609
angles: 114.71 114.71 114.71
Fractional positions:
C: 0.5000 0.5000 0.0000
Ba: 0.0000 0.0000 0.0000
Ba: 0.0000 0.5000 0.5000
Ba: 0.5000 0.0000 0.5000

## Properties
**ΔE_f**: 1.32 eV/atom
**ΔE to the lowest computed polymorph**: 939.5 meV per atom

(7)
First-principles (PBE) data for a geometry-optimized Zr2SbAsC structure, as listed in Alexandria via LeMat-Bulk.

abc: 5.3719 5.0384 5.3719
angles: 90.00 90.00 90.00
Site moments in Bohr magnetons follow the coordinates.
Fractional positions:
Sb: 0.0000 0.0000 0.0000  0.00
As: 0.0000 0.5000 0.0000  0.04
C: 0.5000 0.5000 0.5000  0.51
Zr: 0.0000 0.0000 0.5000  -0.08
Zr: 0.5000 0.0000 0.0000  -0.03

## Properties
**Formation energy (no corrections)**: 2.09 eV per atom

(8)
First-principles (PBE) data for a geometry-optimized Cs4BaCl6 structure, as listed in Alexandria via LeMat-Bulk.

abc: 9.7526 9.7526 9.7526
angles: 90.78 90.78 89.22
Fractional positions:
Cs: 0.3840 0.1160 0.2500
Cs: 0.8840 0.2500 0.3840
Cs: 0.2500 0.6160 0.1160
Cs: 0.2500 0.2500 0.7500
Cs: 0.7500 0.7500 0.2500
Cs: 0.7500 0.3840 0.8840
Cs: 0.1160 0.7500 0.6160
Cs: 0.6160 0.8840 0.7500
Ba: 0.5000 0.5000 0.5000
Ba: 0.0000 0.0000 0.0000
Cl: 0.7026 0.0609 0.0791
Cl: 0.0791 0.2974 0.0609
Cl: 0.5791 0.4391 0.2026
Cl: 0.9391 0.0791 0.7026
Cl: 0.5609 0.2026 0.5791
Cl: 0.2026 0.4209 0.4391
Cl: 0.7974 0.5791 0.5609
Cl: 0.4391 0.7974 0.4209
Cl: 0.0609 0.9209 0.2974
Cl: 0.4209 0.5609 0.7974
Cl: 0.9209 0.7026 0.9391
Cl: 0.2974 0.9391 0.9209

## Properties
**Formation energy (no corrections)**: -2.11 eV per atom

(9)
First-principles (PBE) data for a geometry-optimized Cs4Np3CdTe8 structure, as listed in Alexandria via LeMat-Bulk.

abc: 9.2521 10.3377 9.2546
angles: 116.59 119.99 90.00
Site moments in Bohr magnetons follow the coordinates.
Fractional positions:
Cs: 0.5000 0.0000 0.0000  0.00
Cs: 0.5000 0.0000 0.5000  -0.01
Cs: 0.0000 0.0000 0.0000  -0.01
Cs: 0.0000 0.0000 0.5000  -0.01
Np: 0.5000 0.5000 0.0000  3.86
Np: 0.5000 0.5000 0.5000  3.86
Np: 0.0000 0.5000 0.5000  3.86
Cd: 0.0000 0.5000 0.0000  0.02
Te: 0.2292 0.6861 0.9567  -0.07
Te: 0.2301 0.6866 0.4603  -0.07
Te: 0.2704 0.3111 0.5407  -0.09
Te: 0.7275 0.6861 0.9567  -0.07
Te: 0.2725 0.3139 0.0433  -0.07
Te: 0.7296 0.6889 0.4593  -0.09
Te: 0.7699 0.3134 0.5397  -0.07
Te: 0.7708 0.3139 0.0433  -0.07

## Properties
**Formation energy (no corrections)**: -0.81 eV per atom

(10)
First-principles (PBE) data for a geometry-optimized K2RbGaBr6 structure, as listed in Alexandria via LeMat-Bulk.

abc: 8.1661 8.1661 8.1661
angles: 60.00 60.00 60.00
Fractional positions:
K: 0.7500 0.7500 0.7500
K: 0.2500 0.2500 0.2500
Rb: 0.5000 0.5000 0.5000
Ga: 0.0000 0.0000 0.0000
Br: 0.2218 0.7782 0.2218
Br: 0.7782 0.2218 0.2218
Br: 0.7782 0.2218 0.7782
Br: 0.2218 0.2218 0.7782
Br: 0.7782 0.7782 0.2218
Br: 0.2218 0.7782 0.7782

## Properties
**Formation energy (no corrections)**: -1.26 eV per atom

(11)
First-principles (PBE) data for a geometry-optimized V2TcSe4S2 structure, as listed in Alexandria via LeMat-Bulk.

abc: 3.3159 3.3159 20.6318
angles: 90.00 90.00 120.00
Site moments in Bohr magnetons follow the coordinates.
Fractional positions:
V: 0.0000 0.0000 0.9816  0.96
V: 0.6667 0.3333 0.6475  0.94
Tc: 0.0000 0.0000 0.3298  0.00
Se: 0.0000 0.0000 0.5696  -0.06
Se: 0.6667 0.3333 0.0596  -0.06
Se: 0.6667 0.3333 0.9038  -0.06
Se: 0.0000 0.0000 0.7253  -0.06
S: 0.6667 0.3333 0.3999  0.00
S: 0.6667 0.3333 0.2599  0.00

## Properties
**Formation energy (no corrections)**: -0.61 eV per atom

(12)
First-principles (PBE) data for a geometry-optimized AlTe2Os structure, as listed in Alexandria via LeMat-Bulk.

abc: 7.9562 7.9562 7.9562
angles: 152.21 153.80 38.57
Fractional positions:
Te: 0.1152 0.1152 0.0000
Te: 0.3848 0.3848 0.0000
Os: 0.2500 0.7500 0.5000
Al: 0.7500 0.2500 0.5000

## Properties
**Formation energy (no corrections)**: 0.03 eV per atom

(13)
First-principles (PBE) data for a geometry-optimized Tb3Nd5Tm3 structure, as listed in Alexandria via LeMat-Bulk.

abc: 3.4764 11.2057 11.2057
angles: 120.00 90.00 90.00
Fractional positions:
Tb: 0.0000 0.4060 0.4060
Tb: 0.0000 0.5940 0.0000
Tb: 0.0000 0.0000 0.5940
Nd: 0.5000 0.3333 0.6667
Nd: 0.5000 0.6667 0.3333
Nd: 0.5000 0.1622 0.1622
Nd: 0.5000 0.0000 0.8378
Nd: 0.5000 0.8378 0.0000
Tm: 0.5000 0.6580 0.6580
Tm: 0.5000 0.0000 0.3420
Tm: 0.5000 0.3420 0.0000

## Properties
**ΔE_f**: 0.35 eV/atom
**ΔE to the lowest computed polymorph**: 31.3 meV per atom

(14)
First-principles (PBE) data for a geometry-optimized FeMoAs2 structure, as listed in Alexandria via LeMat-Bulk.

abc: 2.9654 2.9654 7.6512
angles: 90.00 90.00 114.32
Site moments in Bohr magnetons follow the coordinates.
Fractional positions:
As: 0.0000 0.0000 0.0134  -0.01
As: 0.0000 0.0000 0.4866  -0.01
Fe: 0.5000 0.5000 0.2500  1.74
Mo: 0.5000 0.5000 0.7500  -0.17

## Properties
**ΔE_f**: 0.33 eV/atom
**ΔE to the lowest computed polymorph**: 508.1 meV per atom

(15)
First-principles (PBE) data for a geometry-optimized TiBeCr2N structure, as listed in Alexandria via LeMat-Bulk.

abc: 3.7905 4.3956 3.7905
angles: 90.00 90.00 90.00
Fractional positions:
Cr: 0.0000 0.0000 0.5000
Cr: 0.5000 0.0000 0.0000
N: 0.5000 0.5000 0.5000
Be: 0.0000 0.0000 0.0000
Ti: 0.0000 0.5000 0.0000

## Properties
**Formation energy (no corrections)**: 1.46 eV per atom

(16)
First-principles (PBE) data for a geometry-optimized Ac2BePdO5 structure, as listed in Alexandria via LeMat-Bulk.

abc: 5.6890 7.2198 7.2198
angles: 90.00 90.00 90.00
Fractional positions:
Ac: 0.5000 0.6749 0.1749
Ac: 0.5000 0.1749 0.3251
Ac: 0.5000 0.8251 0.6749
Ac: 0.5000 0.3251 0.8251
Be: 0.0000 0.5000 0.5000
Be: 0.0000 0.0000 0.0000
Pd: 0.0000 0.0000 0.5000
Pd: 0.0000 0.5000 0.0000
O: 0.5000 0.5000 0.5000
O: 0.5000 0.0000 0.0000
O: 0.2416 0.1398 0.6398
O: 0.2416 0.8602 0.3602
O: 0.2416 0.3602 0.1398
O: 0.2416 0.6398 0.8602
O: 0.7584 0.1398 0.6398
O: 0.7584 0.6398 0.8602
O: 0.7584 0.8602 0.3602
O: 0.7584 0.3602 0.1398

## Properties
**Formation energy (no corrections)**: -1.63 eV per atom

(17)
First-principles (PBE) data for a geometry-optimized CrBr2Cl structure, as listed in Alexandria via LeMat-Bulk.

abc: 7.8571 7.8571 7.8571
angles: 27.81 27.81 27.81
Site moments in Bohr magnetons follow the coordinates.
Fractional positions:
Cr: 0.7500 0.7500 0.7500  3.30
Br: 0.0206 0.0206 0.0206  -0.11
Br: 0.4794 0.4794 0.4794  -0.11
Cl: 0.2500 0.2500 0.2500  -0.29

## Properties
**ΔE to the lowest computed polymorph**: 413.4 meV per atom
**Formation energy (no corrections)**: -0.36 eV per atom

(18)
First-principles (PBE) data for a geometry-optimized Ba2ZnSb structure, as listed in Alexandria via LeMat-Bulk.

abc: 9.1031 9.1031 7.6723
angles: 53.61 53.61 90.00
Site moments in Bohr magnetons follow the coordinates.
Fractional positions:
Sb: 0.0000 0.0000 0.0000  0.01
Sb: 0.7500 0.2500 0.5000  0.01
Zn: 0.5000 0.5000 0.0000  0.07
Zn: 0.2500 0.7500 0.5000  0.07
Ba: 0.6262 0.1250 0.2500  0.09
Ba: 0.1238 0.6250 0.2500  0.10
Ba: 0.3750 0.3738 0.7500  0.09
Ba: 0.8750 0.8762 0.7500  0.09

## Properties
**ΔE to the lowest computed polymorph**: 291.9 meV per atom
**Formation energy (no corrections)**: -0.35 eV per atom

(19)
First-principles (PBE) data for a geometry-optimized Rb2MoSe structure, as listed in Alexandria via LeMat-Bulk.

abc: 5.9582 5.9582 5.9582
angles: 60.00 60.00 60.00
Site moments in Bohr magnetons follow the coordinates.
Fractional positions:
Mo: 0.5000 0.5000 0.5000  4.16
Se: 0.0000 0.0000 0.0000  0.13
Rb: 0.2500 0.2500 0.2500  0.04
Rb: 0.7500 0.7500 0.7500  0.04

## Properties
**ΔE to the lowest computed polymorph**: 362.4 meV per atom
**Formation energy (no corrections)**: 0.69 eV per atom

(20)
First-principles (PBE) data for a geometry-optimized Ac3Al2ZnGe6 structure, as listed in Alexandria via LeMat-Bulk.

abc: 6.3268 6.3268 8.7380
angles: 90.00 90.00 120.00
Fractional positions:
Ac: 0.3333 0.6667 0.6310
Ac: 0.6667 0.3333 0.3690
Ac: 0.0000 0.0000 0.0000
Al: 0.6667 0.3333 0.9688
Al: 0.3333 0.6667 0.0312
Zn: 0.0000 0.0000 0.5000
Ge: 0.6113 0.8056 0.2853
Ge: 0.1944 0.3887 0.2853
Ge: 0.1944 0.8056 0.2853
Ge: 0.8056 0.6113 0.7147
Ge: 0.3887 0.1944 0.7147
Ge: 0.8056 0.1944 0.7147

## Properties
**ΔE_f**: -0.35 eV/atom

Number 1: total magnetization 5.0 μB per formula unit, D(E_F) 1.44 states/eV/atom. Number 2: total magnetization 0.0 μB per formula unit, D(E_F) 0.48 states/eV/atom. Number 3: total magnetization 0.0 μB per formula unit, D(E_F) 0.28 states/eV/atom. Number 4: total magnetization 0.0 μB per formula unit, D(E_F) 1.08 states/eV/atom. Number 5: total magnetization 0.0 μB per formula unit, D(E_F) 0.48 states/eV/atom. Number 6: total magnetization 0.0 μB per formula unit, D(E_F) 1.10 states/eV/atom. Number 7: total magnetization 1.0 μB per formula unit, D(E_F) 1.28 states/eV/atom. Number 8: total magnetization 0.0 μB per formula unit, D(E_F) 0.00 states/eV/atom. Number 9: total magnetization 11.0 μB per formula unit, D(E_F) 1.59 states/eV/atom. Number 10: total magnetization 0.0 μB per formula unit, D(E_F) 0.00 states/eV/atom. Number 11: total magnetization 1.9 μB per formula unit, D(E_F) 0.35 states/eV/atom. Number 12: total magnetization 0.0 μB per formula unit, D(E_F) 0.30 states/eV/atom. Number 13: total magnetization 0.3 μB per formula unit, D(E_F) 1.79 states/eV/atom. Number 14: total magnetization 1.5 μB per formula unit, D(E_F) 1.05 states/eV/atom. Number 15: total magnetization 0.0 μB per formula unit, D(E_F) 1.74 states/eV/atom. Number 16: total magnetization 0.0 μB per formula unit, D(E_F) 0.58 states/eV/atom. Number 17: total magnetization 3.0 μB per formula unit, D(E_F) 0.26 states/eV/atom. Number 18: total magnetization 1.0 μB per formula unit, D(E_F) 0.66 states/eV/atom. Number 19: total magnetization 6.0 μB per formula unit, D(E_F) 0.13 states/eV/atom. Number 20: total magnetization 0.0 μB per formula unit, D(E_F) 0.41 states/eV/atom.